Entry 1:
# LiZn2Pt3 PBE-GGA optimized geometry
# E_tot, eV per atom: -4.35
# Energy above the most stable polymorph in this dataset, kJ/mol of atoms: 0.0
data_LiZn2Pt3
_symmetry_space_group_name_H-M 'C m m m'
_symmetry_Int_Tables_number 65
_symmetry_space_group_name_Hall '-C 2 2'
_cell_length_a 4.318
_cell_length_b 12.944
_cell_length_c 6.019
_cell_angle_alpha 90.00
_cell_angle_beta 90.00
_cell_angle_gamma 90.00
loop_
_atom_site_label
_atom_site_type_symbol
_atom_site_fract_x
_atom_site_fract_y
_atom_site_fract_z
_atom_site_occupancy
Li1 Li 0.000 0.166 0.000 1
Zn1 Zn 0.000 0.167 0.500 1
Zn2 Zn 0.000 0.500 0.000 1
Zn3 Zn 0.000 0.500 0.500 1
Pt1 Pt 0.000 0.000 0.248 1
Pt2 Pt 0.000 0.332 0.245 1


Entry 2:
# Li15Zn2Pt2 PBE-GGA optimized geometry
# E_tot, eV per atom: -2.37
data_Li15Zn2Pt2
_symmetry_space_group_name_H-M 'R -3 m'
_symmetry_Int_Tables_number 166
_symmetry_space_group_name_Hall '-R 3 2"'
_cell_length_a 7.9857
_cell_length_b 7.9857
_cell_length_c 15.6290
_cell_angle_alpha 90.00
_cell_angle_beta 90.00
_cell_angle_gamma 120.00
loop_
_atom_site_label
_atom_site_type_symbol
_atom_site_fract_x
_atom_site_fract_y
_atom_site_fract_z
_atom_site_occupancy
Li1 Li 0.0000 0.2948 0.0000 1
Li2 Li 0.0000 0.5000 0.5000 1
Li3 Li 0.0859 0.5430 0.1031 1
Zn1 Zn 0.0000 0.0000 0.1113 1
Pt1 Pt 0.0000 0.0000 0.2871 1


Entry 3:
# Li12Zn2Pt PBE-GGA optimized geometry
# E_tot, eV per atom: -2.20
data_Li12Zn2Pt
_symmetry_space_group_name_H-M 'P m m m'
_symmetry_Int_Tables_number 47
_symmetry_space_group_name_Hall '-P 2 2'
_cell_length_a 2.756
_cell_length_b 4.834
_cell_length_c 18.688
_cell_angle_alpha 90.00
_cell_angle_beta 90.00
_cell_angle_gamma 90.00
loop_
_atom_site_label
_atom_site_type_symbol
_atom_site_fract_x
_atom_site_fract_y
_atom_site_fract_z
_atom_site_occupancy
Li1 Li 0.000 0.000 0.065 1
Li2 Li 0.000 0.242 0.500 1
Li3 Li 0.500 0.000 0.211 1
Li4 Li 0.500 0.000 0.347 1
Li5 Li 0.500 0.500 0.120 1
Li6 Li 0.500 0.500 0.380 1
Zn1 Zn 0.000 0.500 0.256 1
Pt1 Pt 0.000 0.500 0.000 1


Entry 4:
# LiZn6Pt PBE-GGA optimized geometry
# E_tot, eV per atom: -2.04
data_LiZn6Pt
_symmetry_space_group_name_H-M 'R -3 m'
_symmetry_Int_Tables_number 166
_symmetry_space_group_name_Hall '-R 3 2"'
_cell_length_a 6.8525
_cell_length_b 6.8525
_cell_length_c 10.1472
_cell_angle_alpha 90.00
_cell_angle_beta 90.00
_cell_angle_gamma 120.00
loop_
_atom_site_label
_atom_site_type_symbol
_atom_site_fract_x
_atom_site_fract_y
_atom_site_fract_z
_atom_site_occupancy
Li1 Li 0.0000 0.0000 0.0000 1
Zn1 Zn 0.0879 0.5440 0.8864 1
Pt1 Pt 0.0000 0.0000 0.5000 1


Entry 5:
# Li8Zn2Pt PBE-GGA optimized geometry
# E_tot, eV per atom: -2.39
data_Li8Zn2Pt
_symmetry_space_group_name_H-M 'C 1 2/m 1'
_symmetry_Int_Tables_number 12
_symmetry_space_group_name_Hall '-C 2y'
_cell_length_a 14.532
_cell_length_b 3.952
_cell_length_c 6.058
_cell_angle_alpha 90.00
_cell_angle_beta 102.39
_cell_angle_gamma 90.00
loop_
_atom_site_label
_atom_site_type_symbol
_atom_site_fract_x
_atom_site_fract_y
_atom_site_fract_z
_atom_site_occupancy
Li1 Li 0.043 0.000 0.247 1
Li2 Li 0.092 0.500 0.936 1
Li3 Li 0.131 0.000 0.670 1
Li4 Li 0.177 0.500 0.404 1
Zn1 Zn 0.223 0.000 0.127 1
Pt1 Pt 0.000 0.500 0.500 1


Entry 6:
# LiZnPt PBE-GGA optimized geometry
# E_tot, eV per atom: -3.00
# Energy above the most stable polymorph in this dataset, kJ/mol of atoms: 62.0
data_LiZnPt
_symmetry_space_group_name_H-M 'I m m m'
_symmetry_Int_Tables_number 71
_symmetry_space_group_name_Hall '-I 2 2'
_cell_length_a 4.731
_cell_length_b 4.862
_cell_length_c 4.912
_cell_angle_alpha 90.00
_cell_angle_beta 90.00
_cell_angle_gamma 90.00
loop_
_atom_site_label
_atom_site_type_symbol
_atom_site_fract_x
_atom_site_fract_y
_atom_site_fract_z
_atom_site_occupancy
Li1 Li 0.000 0.000 0.000 1
Zn1 Zn 0.000 0.000 0.500 1
Pt1 Pt 0.000 0.500 0.500 1


Entry 7:
# Li3Zn3Pt2 PBE-GGA optimized geometry
# E_tot, eV per atom: -3.11
# Energy above the most stable polymorph in this dataset, kJ/mol of atoms: 3.3
data_Li3Zn3Pt2
_symmetry_space_group_name_H-M 'C m c m'
_symmetry_Int_Tables_number 63
_symmetry_space_group_name_Hall '-C 2c 2'
_cell_length_a 4.307
_cell_length_b 8.996
_cell_length_c 12.250
_cell_angle_alpha 90.00
_cell_angle_beta 90.00
_cell_angle_gamma 90.00
loop_
_atom_site_label
_atom_site_type_symbol
_atom_site_fract_x
_atom_site_fract_y
_atom_site_fract_z
_atom_site_occupancy
Li1 Li 0.000 0.073 0.090 1
Li2 Li 0.000 0.245 0.250 1
Zn1 Zn 0.000 0.367 0.045 1
Zn2 Zn 0.000 0.474 0.750 1
Pt1 Pt 0.000 0.221 0.639 1


Entry 8:
# LiZn7Pt4 PBE-GGA optimized geometry
# E_tot, eV per atom: -3.34
data_LiZn7Pt4
_symmetry_space_group_name_H-M 'P -1'
_symmetry_Int_Tables_number 2
_symmetry_space_group_name_Hall '-P 1'
_cell_length_a 4.857
_cell_length_b 5.500
_cell_length_c 7.094
_cell_angle_alpha 106.11
_cell_angle_beta 91.70
_cell_angle_gamma 95.48
loop_
_atom_site_label
_atom_site_type_symbol
_atom_site_fract_x
_atom_site_fract_y
_atom_site_fract_z
_atom_site_occupancy
Li1 Li 0.000 0.000 0.000 1
Zn1 Zn 0.147 0.778 0.414 1
Zn2 Zn 0.259 0.476 0.068 1
Zn3 Zn 0.310 0.267 0.377 1
Zn4 Zn 0.500 0.000 0.000 1
Pt1 Pt 0.190 0.630 0.742 1
Pt2 Pt 0.356 0.145 0.714 1